No. 1
## ZnPb (GGA-PBEsol)

Data for a relaxed ZnPb crystal.

Calculated values
- DOS(E_F): 1.51 states/eV/cell
- Crystal system: cubic
- Size of the total moment: 0.000 μB/cell
- Final energy: -2.26 eV per atom
- Formation energy from the elements: 528 meV per atom

a = 4.384 Å, b = 4.384 Å, c = 4.384 Å
α = 60.00°, β = 60.00°, γ = 60.00°
Sites, in units of the cell vectors:
Pb (0.000, 0.000, 0.000)
Zn (0.250, 0.250, 0.250)

---

No. 2
## ZnPb7 (GGA-PBEsol)

Data for a relaxed ZnPb7 crystal.

Calculated values
- DOS(E_F): 4.09 states/eV/cell
- Crystal system: cubic
- Size of the total moment: 0.000 μB/cell
- Final energy: -3.62 eV per atom
- Formation energy from the elements: 81 meV per atom

a = 6.847 Å, b = 6.847 Å, c = 6.847 Å
α = 60.00°, β = 60.00°, γ = 60.00°
Sites, in units of the cell vectors:
Pb (0.000, 0.000, 0.500)
Pb (0.000, 0.500, 0.000)
Pb (0.500, 0.000, 0.000)
Pb (0.500, 0.500, 0.000)
Pb (0.500, 0.000, 0.500)
Pb (0.000, 0.500, 0.500)
Pb (0.500, 0.500, 0.500)
Zn (0.000, 0.000, 0.000)

---

No. 3
## ZnPb2 (GGA-PBEsol)

Data for a relaxed ZnPb2 crystal.

Calculated values
- DOS(E_F): 1.13 states/eV/cell
- Crystal system: tetragonal
- Size of the total moment: 0.000 μB/cell
- Final energy: -3.08 eV per atom
- Formation energy from the elements: 115 meV per atom

a = 3.454 Å, b = 3.454 Å, c = 6.711 Å
α = 104.91°, β = 104.91°, γ = 90.00°
Sites, in units of the cell vectors:
Pb (0.354, 0.354, 0.708)
Pb (0.646, 0.646, 0.292)
Zn (0.000, 0.000, 0.000)

---

No. 4
## ZnPb5 (GGA-PBEsol)

Data for a relaxed ZnPb5 crystal.

Calculated values
- DOS(E_F): 2.91 states/eV/cell
- Crystal system: monoclinic
- Size of the total moment: 0.000 μB/cell
- Final energy: -3.51 eV per atom
- Formation energy from the elements: 89 meV per atom

a = 3.524 Å, b = 7.011 Å, c = 7.084 Å
α = 102.91°, β = 90.00°, γ = 104.55°
Sites, in units of the cell vectors:
Pb (0.044, 0.087, 0.037)
Pb (0.694, 0.389, 0.388)
Pb (0.344, 0.689, 0.740)
Pb (0.362, 0.724, 0.209)
Pb (0.028, 0.055, 0.569)
Zn (0.695, 0.389, 0.890)

---

No. 5
## ZnPb3 (GGA-PBEsol)

Data for a relaxed ZnPb3 crystal.

Calculated values
- DOS(E_F): 6.91 states/eV/cell
- Crystal system: orthorhombic
- Size of the total moment: 0.001 μB/cell
- Final energy: -3.30 eV per atom
- Formation energy from the elements: 95 meV per atom

a = 6.454 Å, b = 7.016 Å, c = 9.321 Å
α = 90.00°, β = 90.00°, γ = 90.00°
Sites, in units of the cell vectors:
Pb (0.092, 0.000, 0.750)
Pb (0.592, 0.500, 0.250)
Pb (0.408, 0.500, 0.750)
Pb (0.908, 0.000, 0.250)
Pb (0.672, 0.192, 0.951)
Pb (0.172, 0.308, 0.049)
Pb (0.828, 0.692, 0.549)
Pb (0.328, 0.808, 0.451)
Pb (0.328, 0.808, 0.049)
Pb (0.828, 0.692, 0.951)
Pb (0.172, 0.308, 0.451)
Pb (0.672, 0.192, 0.549)
Zn (0.532, 0.899, 0.750)
Zn (0.032, 0.601, 0.250)
Zn (0.968, 0.399, 0.750)
Zn (0.468, 0.101, 0.250)

---

No. 6
## Zn3Pb (GGA-PBEsol)

Data for a relaxed Zn3Pb crystal.

Calculated values
- DOS(E_F): 1.34 states/eV/cell
- Crystal system: trigonal
- Size of the total moment: 0.000 μB/cell
- Final energy: -1.90 eV per atom
- Formation energy from the elements: 290 meV per atom

a = 3.564 Å, b = 5.195 Å, c = 5.195 Å
α = 114.93°, β = 103.22°, γ = 103.22°
Sites, in units of the cell vectors:
Pb (0.000, 0.000, 0.000)
Zn (0.500, 0.000, 0.500)
Zn (0.500, 0.500, 0.000)
Zn (0.000, 0.500, 0.500)